(1)
AlHgO3 | PBE-GGA | optimized geometry

abc: 3.7615 3.7615 3.7662
angles: 90.00 90.00 90.00
Last column: nearest neighbours and their distance in Å.
Space group P4mm (No. 99)
One atom of each set of equivalent atoms:
Al 0.0000 0.0000 0.0000 [1 per cell]  6 O 1.88
Hg 0.5000 0.5000 0.4920 [1 per cell]  12 O 2.64-2.69
O 0.0000 0.0000 0.5000 [1 per cell]  2 Al 1.88
O 0.0000 0.5000 0.0020 [2 per cell]  2 Al 1.88

(2)
AlHgO3 | PBE-GGA | optimized geometry

abc: 5.4759 5.4759 14.7535
angles: 90.00 90.00 120.00
Last column: nearest neighbours and their distance in Å.
Space group R-3c (No. 167, hexagonal axes)
One atom of each set of equivalent atoms:
Al 0.0000 0.0000 0.2500 [6 per cell]  3 O 1.74
Hg 0.0000 0.0000 0.0000 [6 per cell]  6 O 2.24
O 0.0000 0.3176 0.2500 [18 per cell]  1 Al 1.74

(3)
AlHgPO | PBE-GGA | optimized geometry

abc: 3.9449 6.7360 5.6759
angles: 90.00 90.00 90.00
Last column: nearest neighbours and their distance in Å.
Space group Pmc2_1 (No. 26)
One atom of each set of equivalent atoms:
Al 0.0000 0.1188 0.0000 [2 per cell]  2 O 1.78
Hg 0.5000 0.3355 0.4525 [2 per cell]  2 P 2.50-2.53, 2 O 2.69
P 0.5000 0.2925 0.8907 [2 per cell]  2 Al 2.38, 2 Hg 2.50-2.53
O 0.0000 0.0915 0.3114 [2 per cell]  2 Al 1.78

Calculated calculated volume, 10.66, 12.77, 18.85 Å³/atom (same order as the records).
Calculated DFT total energy, -5.038, -4.898, -4.571 eV per atom (same order as the records).